1.
DFT (GGA-PBE) results for Sr2Ga3Au2 after structural relaxation.

Computed properties:
Spin magnetization in μB per formula unit: 0.0
Calculated density in g/cm³: 7.779
Energy relative to the lowest polymorph listed for this composition in kJ/mol of formula units: 9
Crystal system: monoclinic

Unit cell a=4.706 b=5.968 c=6.864 alpha=108.58 beta=90.00 gamma=113.22
Atoms (fractional coordinates):
Sr 0.148 0.297 0.780
Sr 0.852 0.703 0.220
Ga 0.596 0.192 0.417
Ga 0.500 0.000 0.000
Ga 0.404 0.808 0.583
Au 0.845 0.690 0.726
Au 0.155 0.310 0.274

2.
DFT (GGA-PBE) results for CrPBr2 after structural relaxation.

Computed properties:
Raw formation energy in kcal/mol of atoms: 8.64
Spin magnetization in μB per formula unit: 4.2
Calculated density in g/cm³: 4.320
Energy relative to the lowest polymorph listed for this composition in kJ/mol of formula units: 291
Crystal system: monoclinic

Unit cell a=5.013 b=4.958 c=5.025 alpha=65.15 beta=80.16 gamma=114.77
Atoms (fractional coordinates):
Cr 0.000 0.500 0.500
Br 0.500 0.000 0.500
Br 0.000 0.000 0.000
P 0.500 0.500 0.000

3.
DFT (GGA-PBE) results for TbPrFe after structural relaxation.

Computed properties:
Spin magnetization in μB per formula unit: 1.1
Calculated density in g/cm³: 7.553
Energy relative to the lowest polymorph listed for this composition in kJ/mol of formula units: 15
Crystal system: tetragonal

Unit cell a=3.460 b=3.460 c=6.975 alpha=104.36 beta=104.36 gamma=90.00
Atoms (fractional coordinates):
Pr 0.296 0.296 0.592
Fe 0.662 0.662 0.325
Tb 0.042 0.042 0.083

4.
DFT (GGA-PBE) results for CsLi3Bi after structural relaxation.

Computed properties:
Spin magnetization in μB per formula unit: 0.0
Calculated density in g/cm³: 3.810
Energy relative to the lowest polymorph listed for this composition in kJ/mol of formula units: 438
Crystal system: cubic

Unit cell a=5.407 b=5.407 c=5.407 alpha=90.00 beta=90.00 gamma=90.00
Atoms (fractional coordinates):
Li 0.000 0.500 0.000
Li 0.000 0.000 0.500
Li 0.500 0.000 0.000
Bi 0.500 0.500 0.500
Cs 0.000 0.000 0.000

5.
DFT (GGA-PBE) results for HfP3Os after structural relaxation.

Computed properties:
Spin magnetization in μB per formula unit: 0.0
Calculated density in g/cm³: 7.917
Energy relative to the lowest polymorph listed for this composition in kJ/mol of formula units: 0
Crystal system: cubic

Unit cell a=4.592 b=4.592 c=4.592 alpha=90.00 beta=90.00 gamma=90.00
Atoms (fractional coordinates):
Hf 0.500 0.500 0.500
P 0.500 0.000 0.000
P 0.000 0.500 0.000
P 0.000 0.000 0.500
Os 0.000 0.000 0.000

6.
DFT (GGA-PBE) results for Pr6P2PtSe3 after structural relaxation.

Computed properties:
Raw formation energy in kcal/mol of atoms: -37.89
Spin magnetization in μB per formula unit: 0.0
Calculated density in g/cm³: 6.817
Crystal system: monoclinic

Unit cell a=4.208 b=8.573 c=9.542 alpha=103.29 beta=102.74 gamma=90.00
Atoms (fractional coordinates):
P 0.833 0.665 0.666
P 0.167 0.335 0.334
Se 0.833 0.167 0.666
Se 0.167 0.833 0.334
Se 0.500 0.500 0.000
Pr 0.329 0.426 0.658
Pr 0.995 0.757 0.991
Pr 0.667 0.096 0.334
Pr 0.671 0.574 0.342
Pr 0.005 0.243 0.009
Pr 0.333 0.904 0.666
Pt 0.500 0.000 0.000

7.
DFT (GGA-PBE) results for ScMn after structural relaxation.

Computed properties:
Spin magnetization in μB per formula unit: 2.6
Calculated density in g/cm³: 4.606
Crystal system: orthorhombic
Electronic total energy in eV/atom: -7.51

Unit cell a=3.012 b=4.791 c=4.992 alpha=90.00 beta=90.00 gamma=90.00
Atoms (fractional coordinates):
Sc 0.500 0.000 0.540
Sc 0.000 0.500 0.293
Mn 0.000 0.000 0.018
Mn 0.500 0.500 0.815

8.
DFT (GGA-PBE) results for ScAlZn17 after structural relaxation.

Computed properties:
Spin magnetization in μB per formula unit: 0.0
Calculated density in g/cm³: 6.535
Crystal system: trigonal
Electronic total energy in eV/atom: -1.72

Unit cell a=6.773 b=6.773 c=6.773 alpha=81.27 beta=81.27 gamma=81.27
Atoms (fractional coordinates):
Zn 0.008 0.668 0.309
Zn 0.095 0.095 0.095
Zn 0.658 0.658 0.161
Zn 0.985 0.985 0.494
Zn 0.838 0.343 0.343
Zn 0.309 0.008 0.668
Zn 0.343 0.838 0.343
Zn 0.343 0.343 0.838
Zn 0.309 0.668 0.008
Zn 0.008 0.309 0.668
Zn 0.985 0.494 0.985
Zn 0.161 0.658 0.658
Zn 0.494 0.985 0.985
Zn 0.899 0.899 0.899
Zn 0.668 0.309 0.008
Zn 0.668 0.008 0.309
Zn 0.658 0.161 0.658
Sc 0.662 0.662 0.662
Al 0.410 0.410 0.410

9.
DFT (GGA-PBE) results for Cr2RuRh after structural relaxation.

Computed properties:
Spin magnetization in μB per formula unit: 0.0
Calculated density in g/cm³: 9.863
Crystal system: monoclinic
Electronic total energy in eV/atom: -8.95

Unit cell a=2.674 b=4.084 c=9.588 alpha=90.00 beta=98.04 gamma=90.00
Atoms (fractional coordinates):
Cr 0.840 0.750 0.682
Cr 0.087 0.750 0.174
Cr 0.160 0.250 0.318
Cr 0.913 0.250 0.826
Ru 0.708 0.750 0.415
Ru 0.292 0.250 0.585
Rh 0.545 0.250 0.090
Rh 0.455 0.750 0.910

10.
DFT (GGA-PBE) results for NaHfMnW2 after structural relaxation.

Computed properties:
Spin magnetization in μB per formula unit: 0.2
Calculated density in g/cm³: 9.035
Crystal system: tetragonal
Electronic total energy in eV/atom: -6.55

Unit cell a=4.803 b=4.971 c=4.803 alpha=90.00 beta=90.00 gamma=90.00
Atoms (fractional coordinates):
W 0.500 0.000 0.000
W 0.000 0.000 0.500
Mn 0.500 0.500 0.500
Hf 0.000 0.000 0.000
Na 0.000 0.500 0.000

11.
DFT (GGA-PBE) results for TiNbRe2 after structural relaxation.

Computed properties:
Spin magnetization in μB per formula unit: 0.0
Calculated density in g/cm³: 13.471
Energy relative to the lowest polymorph listed for this composition in kJ/mol of formula units: 2
Crystal system: tetragonal

Unit cell a=3.165 b=3.165 c=6.316 alpha=90.00 beta=90.00 gamma=90.00
Atoms (fractional coordinates):
Re 0.000 0.000 0.254
Re 0.000 0.000 0.746
Nb 0.500 0.500 0.000
Ti 0.500 0.500 0.500

12.
DFT (GGA-PBE) results for CePm3Er2Te6 after structural relaxation.

Computed properties:
Raw formation energy in kcal/mol of atoms: -30.93
Spin magnetization in μB per formula unit: 1.3
Calculated density in g/cm³: 7.577
Crystal system: monoclinic

Unit cell a=4.385 b=8.923 c=9.890 alpha=103.02 beta=102.81 gamma=90.00
Atoms (fractional coordinates):
Pm 0.162 0.833 0.323
Pm 0.500 0.500 0.000
Pm 0.838 0.167 0.677
Ce 0.500 0.000 0.000
Te 0.670 0.093 0.339
Te 0.330 0.907 0.661
Te 0.671 0.576 0.341
Te 0.005 0.254 0.009
Te 0.329 0.424 0.659
Te 0.995 0.746 0.991
Er 0.835 0.670 0.670
Er 0.165 0.330 0.330

Number 12 is which compound? CePm3Er2Te6

Which value of spin magnetization does entry 3 give? 1.1 μB per formula unit

calculated density of number 11 (TiNbRe2)? 13.471 g/cm³

What did the seventh record say?
DFT (GGA-PBE) results for ScMn after structural relaxation.

Computed properties:
Spin magnetization in μB per formula unit: 2.6
Calculated density in g/cm³: 4.606
Crystal system: orthorhombic
Electronic total energy in eV/atom: -7.51

Unit cell a=3.012 b=4.791 c=4.992 alpha=90.00 beta=90.00 gamma=90.00
Atoms (fractional coordinates):
Sc 0.500 0.000 0.540
Sc 0.000 0.500 0.293
Mn 0.000 0.000 0.018
Mn 0.500 0.500 0.815